1.
## KLaAg2F8 (PBE)

Data for KLaAg2F8 after structural relaxation.

Lattice parameters (Å, degrees): 6.145 6.145 6.786 116.92 116.92 90.00
Sites, in units of the cell vectors:
F  0.167  0.633  0.927
F  0.979  0.905  0.595
F  0.367  0.240  0.073
F  0.706  0.833  0.073
F  0.095  0.384  0.405
F  0.310  0.021  0.405
F  0.760  0.294  0.927
F  0.616  0.690  0.595
La  0.000  0.000  0.000
Ag  0.250  0.750  0.500
Ag  0.500  0.500  0.000
K  0.750  0.250  0.500

Computed properties:
**Formation energy (no corrections)**: -2.371 eV/atom
**Magnetization**: 2.0 Bohr magnetons per cell
**Calculated volume**: 196.8 Å³ per cell
**Crystal system**: tetragonal

=====

2.
## Ta2As (PBE)

Data for Ta2As after structural relaxation.

Lattice parameters (Å, degrees): 5.083 5.083 6.530 78.20 78.20 39.56
Sites, in units of the cell vectors:
As  0.286  0.286  0.379
As  0.020  0.020  0.978
Ta  0.592  0.592  0.238
Ta  0.958  0.958  0.583
Ta  0.664  0.664  0.698
Ta  0.314  0.314  0.957

Computed properties:
**Magnetization**: 0.0 Bohr magnetons per cell
**DFT formation energy**: -29 kJ per mole of atoms
**Calculated volume**: 104.9 Å³ per cell
**Crystal system**: monoclinic

=====

3.
## Tb2Sm5Tm12 (PBE)

Data for Tb2Sm5Tm12 after structural relaxation.

Lattice parameters (Å, degrees): 6.116 10.592 12.711 133.79 94.75 84.36
Sites, in units of the cell vectors:
Tm  0.369  0.263  0.974
Tm  0.684  0.632  0.237
Tm  0.789  0.421  0.659
Tm  0.946  0.104  0.288
Tm  0.474  0.052  0.394
Tm  0.211  0.579  0.341
Tm  0.526  0.948  0.606
Tm  0.896  0.210  0.078
Tm  0.631  0.737  0.026
Tm  0.054  0.896  0.712
Tm  0.104  0.790  0.922
Tm  0.316  0.368  0.763
Tb  0.580  0.843  0.817
Tb  0.420  0.157  0.183
Sm  0.263  0.474  0.553
Sm  0.842  0.316  0.868
Sm  0.000  0.000  0.500
Sm  0.158  0.684  0.132
Sm  0.737  0.526  0.447

Computed properties:
**Magnetization**: 0.0 Bohr magnetons per cell
**DFT formation energy**: 2 kJ per mole of atoms
**Calculated volume**: 591.4 Å³ per cell
**Crystal system**: triclinic
**Offset from the most stable computed form**: 0.00 eV/f.u.

=====

4.
## AcNd12Sm2 (PBE)

Data for AcNd12Sm2 after structural relaxation.

Lattice parameters (Å, degrees): 6.907 6.907 25.487 90.00 90.00 63.34
Sites, in units of the cell vectors:
Nd  0.000  0.000  0.328
Nd  0.774  0.274  0.559
Nd  0.500  0.500  0.203
Nd  0.730  0.770  0.582
Nd  0.726  0.226  0.441
Nd  0.267  0.767  0.920
Nd  0.500  0.500  0.328
Nd  0.500  0.500  0.797
Nd  0.767  0.267  0.080
Nd  0.242  0.258  0.862
Nd  0.733  0.233  0.920
Nd  0.758  0.742  0.862
Nd  0.770  0.730  0.418
Nd  0.270  0.230  0.582
Nd  0.000  0.000  0.797
Nd  0.274  0.774  0.441
Nd  0.500  0.500  0.672
Nd  0.230  0.270  0.418
Nd  0.000  0.000  0.203
Nd  0.742  0.758  0.138
Nd  0.000  0.000  0.672
Nd  0.258  0.242  0.138
Nd  0.226  0.726  0.559
Nd  0.233  0.733  0.080
Sm  0.000  0.500  0.723
Sm  0.000  0.500  0.271
Sm  0.500  0.000  0.277
Sm  0.500  0.000  0.729
Ac  0.000  0.500  0.990
Ac  0.500  0.000  0.010

Computed properties:
**Magnetization**: 0.0 Bohr magnetons per cell
**DFT formation energy**: 15 kJ per mole of atoms
**Calculated volume**: 1086.5 Å³ per cell
**Crystal system**: orthorhombic

=====

5.
## LiLaCd17 (PBE)

Data for LiLaCd17 after structural relaxation.

Lattice parameters (Å, degrees): 7.726 7.726 7.726 82.12 82.12 82.12
Sites, in units of the cell vectors:
Cd  0.641  0.161  0.641
Cd  0.500  0.989  0.989
Cd  0.687  0.002  0.298
Cd  0.641  0.641  0.161
Cd  0.298  0.002  0.687
Cd  0.161  0.641  0.641
Cd  0.837  0.352  0.352
Cd  0.687  0.298  0.002
Cd  0.989  0.989  0.500
Cd  0.989  0.500  0.989
Cd  0.899  0.899  0.899
Cd  0.298  0.687  0.002
Cd  0.104  0.104  0.104
Cd  0.352  0.837  0.352
Cd  0.352  0.352  0.837
Cd  0.002  0.298  0.687
Cd  0.002  0.687  0.298
Li  0.399  0.399  0.399
La  0.662  0.662  0.662

Computed properties:
**Magnetization**: 0.0 Bohr magnetons per cell
**DFT formation energy**: -9 kJ per mole of atoms
**Calculated volume**: 449.2 Å³ per cell
**Crystal system**: trigonal

=====

6.
## NpTcSn2 (PBE)

Data for NpTcSn2 after structural relaxation.

Lattice parameters (Å, degrees): 3.323 3.323 7.675 90.00 90.00 90.00
Sites, in units of the cell vectors:
Np  0.500  0.500  0.500
Tc  0.500  0.500  0.000
Sn  0.000  0.000  0.204
Sn  0.000  0.000  0.796

Computed properties:
**Magnetization**: 4.9 Bohr magnetons per cell
**DFT formation energy**: 6 kJ per mole of atoms
**Calculated volume**: 84.8 Å³ per cell
**Crystal system**: tetragonal
**Offset from the most stable computed form**: 0.00 eV/f.u.

=====

7.
## CuSeCl2 (PBE)

Data for CuSeCl2 after structural relaxation.

Lattice parameters (Å, degrees): 10.637 10.637 10.637 17.65 17.65 17.65
Sites, in units of the cell vectors:
Cl  0.963  0.963  0.963
Cl  0.537  0.537  0.537
Cu  0.250  0.250  0.250
Se  0.750  0.750  0.750

Computed properties:
**Formation energy (no corrections)**: 0.034 eV/atom
**Magnetization**: 1.4 Bohr magnetons per cell
**Calculated volume**: 96.6 Å³ per cell
**Crystal system**: trigonal
**Offset from the most stable computed form**: 1.32 eV/f.u.

=====

8.
## GeRu3W (PBE)

Data for GeRu3W after structural relaxation.

Lattice parameters (Å, degrees): 4.716 4.716 4.716 90.00 90.00 90.00
Sites, in units of the cell vectors:
Ru  0.000  0.000  0.500
Ru  0.000  0.500  0.000
Ru  0.500  0.000  0.000
W  0.000  0.000  0.000
Ge  0.500  0.500  0.500

Computed properties:
**Magnetization**: 0.9 Bohr magnetons per cell
**DFT formation energy**: 154 kJ per mole of atoms
**Calculated volume**: 104.9 Å³ per cell
**Crystal system**: cubic
**Offset from the most stable computed form**: 1.38 eV/f.u.

=====

9.
## Mg7Sb2Pb (PBE)

Data for Mg7Sb2Pb after structural relaxation.

Lattice parameters (Å, degrees): 4.576 4.576 13.034 100.11 100.11 90.00
Sites, in units of the cell vectors:
Sb  0.322  0.322  0.644
Sb  0.678  0.678  0.356
Mg  0.250  0.750  0.500
Mg  0.405  0.905  0.810
Mg  0.595  0.095  0.190
Mg  0.750  0.250  0.500
Mg  0.905  0.405  0.810
Mg  0.095  0.595  0.190
Mg  0.500  0.500  0.000
Pb  0.000  0.000  0.000

Computed properties:
**Formation energy (no corrections)**: -0.124 eV/atom
**Magnetization**: 0.0 Bohr magnetons per cell
**Calculated volume**: 264.4 Å³ per cell
**Crystal system**: tetragonal

=====

10.
## Ta2PAu (PBE)

Data for Ta2PAu after structural relaxation.

Lattice parameters (Å, degrees): 4.480 4.480 8.804 75.26 75.26 90.00
Sites, in units of the cell vectors:
Ta  0.875  0.818  0.750
Ta  0.375  0.432  0.750
Ta  0.182  0.625  0.250
Ta  0.568  0.125  0.250
P  0.250  0.750  0.500
P  0.500  0.500  0.000
Au  0.000  0.000  0.000
Au  0.750  0.250  0.500

Computed properties:
**Magnetization**: 0.0 Bohr magnetons per cell
**DFT formation energy**: 53 kJ per mole of atoms
**Calculated volume**: 164.8 Å³ per cell
**Crystal system**: tetragonal

=====

11.
## SrNb2Cu (PBE)

Data for SrNb2Cu after structural relaxation.

Lattice parameters (Å, degrees): 4.818 4.818 10.221 76.37 76.37 90.00
Sites, in units of the cell vectors:
Sr  0.750  0.250  0.500
Sr  0.000  0.000  0.000
Nb  0.375  0.625  0.750
Nb  0.375  0.625  0.250
Nb  0.375  0.125  0.250
Nb  0.875  0.625  0.750
Cu  0.250  0.750  0.500
Cu  0.500  0.500  0.000

Computed properties:
**Magnetization**: 0.0 Bohr magnetons per cell
**DFT formation energy**: 94 kJ per mole of atoms
**Calculated volume**: 223.7 Å³ per cell
**Crystal system**: tetragonal
**Offset from the most stable computed form**: 0.00 eV/f.u.

=====

12.
## Zn2OsI (PBE)

Data for Zn2OsI after structural relaxation.

Lattice parameters (Å, degrees): 6.212 6.212 7.453 65.37 65.37 90.00
Sites, in units of the cell vectors:
I  0.500  0.500  0.000
I  0.250  0.750  0.500
Os  0.000  0.000  0.000
Os  0.750  0.250  0.500
Zn  0.062  0.625  0.250
Zn  0.375  0.312  0.750
Zn  0.875  0.938  0.750
Zn  0.688  0.125  0.250

Computed properties:
**Formation energy (no corrections)**: 1.001 eV/atom
**Magnetization**: 2.0 Bohr magnetons per cell
**Calculated volume**: 232.3 Å³ per cell
**Crystal system**: tetragonal
**Offset from the most stable computed form**: 0.00 eV/f.u.